No. 1
Here is an optimized crystal structure of MnAs6Pd12 from the Alexandria database. Energies are from GGA-PBE.

abc: 7.388 7.388 7.388
angles: 107.42 107.42 107.42
Site moments in Bohr magnetons follow the coordinates.
Element x y z (fractional)
Pd1 0.500 0.875 0.125  0.01
Pd2 0.620 0.857 0.620  0.02
Mn1 0.000 0.000 0.000  4.38
Pd3 0.875 0.125 0.500  0.01
Pd4 0.380 0.380 0.143  0.02
Pd5 0.380 0.143 0.380  0.02
As1 0.736 0.322 0.736  0.00
As2 0.322 0.736 0.736  0.00
Pd6 0.875 0.500 0.125  0.01
Pd7 0.125 0.500 0.875  0.01
Pd8 0.500 0.125 0.875  0.01
As3 0.736 0.736 0.322  0.00
Pd9 0.125 0.875 0.500  0.01
As4 0.678 0.264 0.264  0.00
As5 0.264 0.264 0.678  0.00
As6 0.264 0.678 0.264  0.00
Pd10 0.620 0.620 0.857  0.02
Pd11 0.857 0.620 0.620  0.02
Pd12 0.143 0.380 0.380  0.02

Summary:
- Symmetry: No. 166
- D(E_F): 8.88 states/eV/f.u.
- V: 17.5 Å³/atom
- DFT total energy: -102.89 eV per cell
- Crystal system: trigonal
- E_form: -0.184 eV per atom



No. 2
Here is an optimized crystal structure of Mn2AsPd6 from the Alexandria database. Energies are from GGA-PBE.

abc: 3.810 5.707 7.431
angles: 112.36 89.99 90.00
Site moments in Bohr magnetons follow the coordinates.
Element x y z (fractional)
Pd1 0.000 0.101 0.697  0.16
As1 0.000 0.000 0.000  -0.01
Pd2 0.500 0.269 0.000  0.02
Pd3 0.000 0.404 0.302  0.16
Pd4 0.500 0.731 0.000  0.02
Mn1 0.500 0.745 0.490  4.01
Pd5 0.000 0.596 0.698  0.16
Pd6 0.000 0.899 0.303  0.16
Mn2 0.500 0.255 0.510  4.01

Summary:
- Symmetry: No. 10
- D(E_F): 3.27 states/eV/f.u.
- V: 16.6 Å³/atom
- DFT total energy: -55.39 eV per cell
- Crystal system: monoclinic
- E_form: -0.138 eV per atom



No. 3
Here is an optimized crystal structure of MnAsPd from the Alexandria database. Energies are from GGA-PBE.

abc: 2.916 4.323 4.323
angles: 120.00 90.00 90.00
Site moments in Bohr magnetons follow the coordinates.
Element x y z (fractional)
As1 0.166 0.333 0.667  -0.04
Mn1 0.667 0.667 0.333  3.71
Pd1 0.167 0.000 0.000  0.08

Summary:
- Symmetry: No. 156
- D(E_F): 1.03 states/eV/f.u.
- V: 15.7 Å³/atom
- DFT total energy: -19.53 eV per cell
- Crystal system: trigonal
- E_form: -0.171 eV per atom



No. 4
Here is an optimized crystal structure of MnAsPd2 from the Alexandria database. Energies are from GGA-PBE.

abc: 4.201 4.201 4.954
angles: 64.92 64.92 60.00
Site moments in Bohr magnetons follow the coordinates.
Element x y z (fractional)
Pd1 0.013 0.013 0.960  0.14
As1 0.818 0.818 0.545  -0.10
Pd2 0.230 0.230 0.310  0.07
Mn1 0.438 0.438 0.685  3.46

Summary:
- Symmetry: No. 160
- D(E_F): 1.58 states/eV/f.u.
- V: 16.5 Å³/atom
- DFT total energy: -24.90 eV per cell
- Crystal system: trigonal
- E_form: -0.173 eV per atom



No. 5
Here is an optimized crystal structure of MnAsPd from the Alexandria database. Energies are from GGA-PBE.

abc: 6.700 6.700 3.711
angles: 90.00 90.00 120.00
Site moments in Bohr magnetons follow the coordinates.
Element x y z (fractional)
As1 0.667 0.333 0.000  -0.06
Mn1 0.404 0.000 0.500  3.75
Pd1 0.735 0.000 0.000  0.03
Mn2 0.596 0.596 0.500  3.75
As2 0.333 0.667 0.000  -0.06
Pd2 0.000 0.735 0.000  0.03
Mn3 0.000 0.404 0.500  3.75
Pd3 0.265 0.265 0.000  0.03
As3 0.000 0.000 0.500  -0.09

Summary:
- Symmetry: No. 189
- D(E_F): 1.24 states/eV/f.u.
- V: 16.0 Å³/atom
- DFT total energy: -59.20 eV per cell
- Crystal system: hexagonal
- E_form: -0.240 eV per atom



No. 6
Here is an optimized crystal structure of Mn3AsPd from the Alexandria database. Energies are from GGA-PBE.

abc: 4.793 4.793 4.793
angles: 90.00 90.00 90.00
Site moments in Bohr magnetons follow the coordinates.
Element x y z (fractional)
Pd1 0.000 0.000 0.000  0.37
Mn1 0.000 0.000 0.500  4.16
As1 0.500 0.500 0.500  -0.12
Mn2 0.000 0.500 0.000  4.04
Mn3 0.500 0.000 0.000  4.00

Summary:
- E above lowest polymorph: 0.0 meV/atom
- Symmetry: No. 221
- D(E_F): 4.14 states/eV/f.u.
- V: 22.0 Å³/atom
- DFT total energy: -33.19 eV per cell
- Crystal system: cubic
- E_form: 0.832 eV per atom



No. 7
Here is an optimized crystal structure of Mn3AsPd6 from the Alexandria database. Energies are from GGA-PBE.

abc: 7.372 5.420 7.883
angles: 90.00 91.63 90.00
Site moments in Bohr magnetons follow the coordinates.
Element x y z (fractional)
Mn1 0.994 0.291 0.761  3.67
Pd1 0.824 0.607 0.936  0.19
As1 0.500 0.500 0.500  -0.10
Pd2 0.146 0.747 0.754  0.18
Pd3 0.672 0.098 0.945  0.16
Pd4 0.828 0.598 0.555  0.16
Mn2 0.494 0.209 0.261  3.67
Pd5 0.172 0.402 0.445  0.16
Pd6 0.324 0.893 0.436  0.19
Mn3 0.500 0.500 0.000  3.74
As2 0.000 0.000 0.000  -0.10
Pd7 0.676 0.107 0.564  0.19
Mn4 0.006 0.709 0.239  3.67
Pd8 0.354 0.247 0.746  0.18
Pd9 0.646 0.753 0.254  0.18
Pd10 0.854 0.253 0.246  0.18
Pd11 0.176 0.393 0.064  0.19
Mn5 0.506 0.791 0.739  3.67
Mn6 0.000 0.000 0.500  3.74
Pd12 0.328 0.902 0.055  0.16

Summary:
- Symmetry: No. 14
- D(E_F): 5.33 states/eV/f.u.
- V: 15.7 Å³/atom
- DFT total energy: -128.72 eV per cell
- Crystal system: monoclinic
- E_form: -0.104 eV per atom



No. 8
Here is an optimized crystal structure of MnAs3Pd from the Alexandria database. Energies are from GGA-PBE.

abc: 4.577 4.577 4.577
angles: 90.00 90.00 90.00
Site moments in Bohr magnetons follow the coordinates.
Element x y z (fractional)
As1 0.500 0.000 0.000  -0.09
Pd1 0.500 0.500 0.500  -0.04
Mn1 0.000 0.000 0.000  1.59
As2 0.000 0.000 0.500  0.00
As3 0.000 0.500 0.000  -0.02

Summary:
- E above lowest polymorph: 0.0 meV/atom
- Symmetry: No. 221
- D(E_F): 3.24 states/eV/f.u.
- V: 19.2 Å³/atom
- DFT total energy: -26.39 eV per cell
- Crystal system: cubic
- E_form: 0.384 eV per atom



No. 9
Here is an optimized crystal structure of MnAsPd6 from the Alexandria database. Energies are from GGA-PBE.

abc: 3.935 3.935 7.910
angles: 90.00 90.00 90.00
Site moments in Bohr magnetons follow the coordinates.
Element x y z (fractional)
Pd1 0.000 0.500 0.250  0.11
Pd2 0.500 0.500 0.000  0.17
Pd3 0.000 0.500 0.750  0.11
Pd4 0.500 0.000 0.250  0.11
Pd5 0.500 0.500 0.500  0.10
Pd6 0.500 0.000 0.750  0.11
As1 0.000 0.000 0.500  0.03
Mn1 0.000 0.000 0.000  3.98

Summary:
- E above lowest polymorph: 0.0 meV/atom
- Symmetry: No. 123
- D(E_F): 4.57 states/eV/f.u.
- V: 15.3 Å³/atom
- DFT total energy: -46.79 eV per cell
- Crystal system: tetragonal
- E_form: -0.227 eV per atom



No. 10
Here is an optimized crystal structure of MnAs2Pd from the Alexandria database. Energies are from GGA-PBE.

abc: 3.028 3.028 9.057
angles: 80.38 80.38 60.00
Site moments in Bohr magnetons follow the coordinates.
Element x y z (fractional)
As1 0.092 0.092 0.725  -0.02
As2 0.908 0.908 0.275  -0.02
Pd1 0.500 0.500 0.500  0.00
Mn1 0.000 0.000 0.000  3.49

Summary:
- E above lowest polymorph: 240.3 meV/atom
- Symmetry: No. 166
- D(E_F): 2.41 states/eV/f.u.
- V: 17.6 Å³/atom
- DFT total energy: -22.96 eV per cell
- Crystal system: trigonal
- E_form: 0.175 eV per atom



No. 11
Here is an optimized crystal structure of MnAsPd6 from the Alexandria database. Energies are from GGA-PBE.

abc: 4.557 4.557 7.617
angles: 89.96 89.96 121.10
Site moments in Bohr magnetons follow the coordinates.
Element x y z (fractional)
Pd1 0.001 0.001 0.673  0.07
Pd2 0.335 0.664 0.184  0.09
As1 0.500 0.500 0.500  -0.04
Pd3 0.336 0.665 0.816  0.09
Mn1 0.000 0.000 0.000  4.01
Pd4 0.665 0.336 0.816  0.09
Pd5 0.664 0.335 0.184  0.09
Pd6 0.999 0.999 0.327  0.07

Summary:
- E above lowest polymorph: 163.6 meV/atom
- Symmetry: No. 12
- D(E_F): 6.41 states/eV/f.u.
- V: 16.9 Å³/atom
- DFT total energy: -45.48 eV per cell
- Crystal system: monoclinic
- E_form: -0.063 eV per atom



No. 12
Here is an optimized crystal structure of MnAsPd from the Alexandria database. Energies are from GGA-PBE.

abc: 3.492 3.492 4.631
angles: 112.15 112.15 90.00
Site moments in Bohr magnetons follow the coordinates.
Element x y z (fractional)
As1 0.617 0.617 0.234  -0.10
Mn1 0.288 0.288 0.576  3.70
Pd1 0.945 0.945 0.890  0.15

Summary:
- Symmetry: No. 107
- D(E_F): 1.10 states/eV/f.u.
- V: 15.9 Å³/atom
- DFT total energy: -19.45 eV per cell
- Crystal system: tetragonal
- E_form: -0.144 eV per atom